Version 1
Material: InPb4I8
Method: DFT, GGA-PBE
State: relaxed

a = 13.8972 Å, b = 13.8972 Å, c = 13.8972 Å
α = 90.00°, β = 90.00°, γ = 90.00°
Space group F-43m (No. 216)
Symmetry-distinct sites (fractional):
In (0.0000, 0.0000, 0.0000) (multiplicity 4)
Pb (0.1210, 0.1210, 0.6210) (multiplicity 16)
I (0.1146, 0.1146, 0.3854) (multiplicity 16)
I (0.1392, 0.1392, 0.8608) (multiplicity 16)


Version 2
Material: InPb4I8
Method: DFT, GGA-PBE
State: relaxed

a = 9.6851 Å, b = 9.6851 Å, c = 22.8278 Å
α = 90.00°, β = 90.00°, γ = 120.00°
Space group R-3m (No. 166, hexagonal axes)
Symmetry-distinct sites (fractional):
In (0.0000, 0.0000, 0.0000) (multiplicity 3)
Pb (0.0000, 0.0000, 0.5000) (multiplicity 3)
Pb (0.0000, 0.5000, 0.5000) (multiplicity 9)
I (0.0000, 0.0000, 0.2426) (multiplicity 6)
I (0.0021, 0.5010, 0.2442) (multiplicity 18)


Among the structures shown above, version 2 is the most stable, with the second-best lying 0.021 eV/atom higher.